[1]
## Mg2CdTc (PBE-GGA)

Data for an optimized crystal structure of Mg2CdTc.

Values from the calculation:
- DFT total energy (eV per formula unit) = -13.28
- total magnetic moment (μB/f.u.) = 0.6
- DFT formation energy (meV per atom) = 297.5

Cell lengths 4.6891, 4.6891, 4.6891 Å; angles 60.00, 60.00, 60.00 degrees
Site moments in Bohr magnetons follow the coordinates.
Fractional positions:
Cd1 0.5000 0.5000 0.5000  -0.01
Mg1 0.0000 0.0000 0.0000  0.00
Mg2 0.2500 0.2500 0.2500  -0.01
Tc1 0.7500 0.7500 0.7500  0.53

[2]
## La2Pr3Th2 (PBE-GGA)

Data for an optimized crystal structure of La2Pr3Th2.

Values from the calculation:
- DFT total energy (eV per formula unit) = -37.68
- total magnetic moment (μB/f.u.) = 0.0
- DFT formation energy (meV per atom) = 193.2

Cell lengths 3.4773, 5.7590, 23.6505 Å; angles 148.53, 90.00, 90.00 degrees
Fractional positions:
La1 0.5000 0.0242 0.1502
La2 0.5000 0.9758 0.8498
Pr1 0.0000 0.0153 0.5760
Pr2 0.0000 0.0000 0.0000
Pr3 0.0000 0.9847 0.4240
Th1 0.0000 0.0079 0.7163
Th2 0.0000 0.9921 0.2837

[3]
## ScCdOs3 (PBE-GGA)

Data for an optimized crystal structure of ScCdOs3.

Values from the calculation:
- energy above the lowest structure with this stoichiometry (meV per atom) = 0
- DFT total energy (eV per formula unit) = -30.34
- total magnetic moment (μB/f.u.) = 1.6
- DFT formation energy (meV per atom) = 2119.0

Cell lengths 4.6793, 4.6793, 4.6793 Å; angles 90.00, 90.00, 90.00 degrees
Site moments in Bohr magnetons follow the coordinates.
Fractional positions:
Sc1 0.0000 0.0000 0.0000  -0.05
Os1 0.0000 0.5000 0.0000  0.59
Os2 0.0000 0.0000 0.5000  0.46
Os3 0.5000 0.0000 0.0000  0.56
Cd1 0.5000 0.5000 0.5000  -0.02

[4]
## Tb2Er6Tm3Pu (PBE-GGA)

Data for an optimized crystal structure of Tb2Er6Tm3Pu.

Values from the calculation:
- DFT total energy (eV per formula unit) = -63.84
- total magnetic moment (μB/f.u.) = 6.4
- DFT formation energy (meV per atom) = 45.0

Cell lengths 6.0651, 6.0651, 11.5669 Å; angles 95.02, 95.02, 120.01 degrees
Site moments in Bohr magnetons follow the coordinates.
Fractional positions:
Tb1 0.3334 0.6666 0.0000  -0.11
Tb2 0.6666 0.3334 0.0000  -0.11
Er1 0.9168 0.5873 0.7501  -0.05
Er2 0.7536 0.7536 0.2500  -0.04
Er3 0.0832 0.4127 0.2499  -0.05
Er4 0.5873 0.9168 0.7501  -0.05
Er5 0.2464 0.2464 0.7500  -0.04
Er6 0.4127 0.0832 0.2499  -0.05
Tm1 0.1672 0.8328 0.5000  0.05
Tm2 0.8328 0.1672 0.5000  0.05
Tm3 0.5000 0.5000 0.5000  0.05
Pu1 0.0000 0.0000 0.0000  -5.58

[5]
## Sr2NdAu4 (PBE-GGA)

Data for an optimized crystal structure of Sr2NdAu4.

Values from the calculation:
- DFT total energy (eV per formula unit) = -25.56
- total magnetic moment (μB/f.u.) = 0.0
- DFT formation energy (meV per atom) = -617.4

Cell lengths 5.4574, 5.4574, 7.8494 Å; angles 110.34, 110.34, 90.00 degrees
Fractional positions:
Sr1 0.7208 0.7208 0.4415
Sr2 0.2792 0.2792 0.5585
Nd1 0.0000 0.0000 0.0000
Au1 0.3924 0.8924 0.7848
Au2 0.8924 0.3924 0.7848
Au3 0.6076 0.1076 0.2152
Au4 0.1076 0.6076 0.2152

[6]
## TbSm2Mg (PBE-GGA)

Data for an optimized crystal structure of TbSm2Mg.

Values from the calculation:
- energy above the lowest structure with this stoichiometry (meV per atom) = 52
- DFT total energy (eV per formula unit) = -15.58
- total magnetic moment (μB/f.u.) = 0.0
- DFT formation energy (meV per atom) = 21.6

Cell lengths 3.8342, 5.6604, 5.6604 Å; angles 90.00, 90.00, 90.00 degrees
Fractional positions:
Mg1 0.5000 0.0000 0.0000
Tb1 0.5000 0.5000 0.5000
Sm1 0.0000 0.0000 0.5000
Sm2 0.0000 0.5000 0.0000

[7]
## SrMgZn2Hg4 (PBE-GGA)

Data for an optimized crystal structure of SrMgZn2Hg4.

Values from the calculation:
- DFT total energy (eV per formula unit) = -8.67
- total magnetic moment (μB/f.u.) = 0.0
- DFT formation energy (meV per atom) = -205.0

Cell lengths 4.6724, 4.6724, 10.5036 Å; angles 77.15, 77.15, 60.00 degrees
Fractional positions:
Sr1 0.0000 0.0000 0.0000
Mg1 0.5000 0.5000 0.5000
Zn1 0.7701 0.7701 0.6896
Zn2 0.2299 0.2299 0.3104
Hg1 0.3950 0.3950 0.8150
Hg2 0.8748 0.8748 0.3757
Hg3 0.1252 0.1252 0.6243
Hg4 0.6050 0.6050 0.1850

[8]
## PmY3H (PBE-GGA)

Data for an optimized crystal structure of PmY3H.

Values from the calculation:
- DFT total energy (eV per formula unit) = -28.30
- total magnetic moment (μB/f.u.) = 0.0

Cell lengths 5.0436, 5.0436, 5.0436 Å; angles 90.00, 90.00, 90.00 degrees
Fractional positions:
Y1 0.0000 0.5000 0.0000
Y2 0.0000 0.0000 0.5000
Y3 0.5000 0.0000 0.0000
H1 0.0000 0.0000 0.0000
Pm1 0.5000 0.5000 0.5000

[9]
## HfZr2TlSi (PBE-GGA)

Data for an optimized crystal structure of HfZr2TlSi.

Values from the calculation:
- energy above the lowest structure with this stoichiometry (meV per atom) = 0
- DFT total energy (eV per formula unit) = -34.54
- E_form (uncorrected) (meV/atom) = 59
- total magnetic moment (μB/f.u.) = 0.0

Cell lengths 4.9557, 4.9557, 4.9079 Å; angles 90.00, 90.00, 90.00 degrees
Fractional positions:
Tl1 0.5000 0.5000 0.5000
Hf1 0.0000 0.0000 0.5000
Si1 0.0000 0.0000 0.0000
Zr1 0.0000 0.5000 0.0000
Zr2 0.5000 0.0000 0.0000

[10]
## K4BaLa (PBE-GGA)

Data for an optimized crystal structure of K4BaLa.

Values from the calculation:
- DFT total energy (eV per formula unit) = -9.05
- total magnetic moment (μB/f.u.) = 0.3
- DFT formation energy (meV per atom) = 365.7

Cell lengths 7.9424, 7.9424, 7.9424 Å; angles 60.00, 60.00, 60.00 degrees
Site moments in Bohr magnetons follow the coordinates.
Fractional positions:
K1 0.3757 0.3757 0.3757  0.00
K2 0.3757 0.8729 0.3757  0.00
K3 0.3757 0.3757 0.8729  0.00
K4 0.8729 0.3757 0.3757  0.00
Ba1 0.0000 0.0000 0.0000  0.01
La1 0.7500 0.7500 0.7500  0.17

[11]
## BaLaZn2Ni (PBE-GGA)

Data for an optimized crystal structure of BaLaZn2Ni.

Values from the calculation:
- DFT total energy (eV per formula unit) = -15.90
- total magnetic moment (μB/f.u.) = 0.0
- DFT formation energy (meV per atom) = -143.8

Cell lengths 5.0716, 5.0716, 4.9974 Å; angles 90.00, 90.00, 90.00 degrees
Fractional positions:
Ni1 0.0000 0.0000 0.0000
Zn1 0.0000 0.5000 0.0000
Zn2 0.5000 0.0000 0.0000
Ba1 0.5000 0.5000 0.5000
La1 0.0000 0.0000 0.5000

[12]
## Cd2Hg6Pb3 (PBE-GGA)

Data for an optimized crystal structure of Cd2Hg6Pb3.

Values from the calculation:
- energy above the lowest structure with this stoichiometry (meV per atom) = 36
- DFT total energy (eV per formula unit) = -13.98
- total magnetic moment (μB/f.u.) = 0.0
- DFT formation energy (meV per atom) = 71.5

Cell lengths 4.4554, 4.4554, 15.9792 Å; angles 98.01, 98.01, 90.00 degrees
Fractional positions:
Cd1 0.3568 0.3568 0.7136
Cd2 0.6432 0.6432 0.2864
Hg1 0.0746 0.5746 0.1492
Hg2 0.5746 0.0746 0.1492
Hg3 0.9254 0.4254 0.8508
Hg4 0.4254 0.9254 0.8508
Hg5 0.7353 0.7353 0.4705
Hg6 0.2647 0.2647 0.5295
Pb1 0.0000 0.0000 0.0000
Pb2 0.8333 0.8333 0.6666
Pb3 0.1667 0.1667 0.3334

Q: Which value of DFT total energy does entry 7 give?
A: -8.67 eV per formula unit